A plane-wave DFT calculation with PBE was carried out for crystalline KZr2Cr at its relaxed geometry.

abc: 4.181 4.181 9.142
angles: 87.15 87.15 44.63
Each line ends with the local moment (μB).
Element x y z (fractional)
Cr1 0.750 0.750 0.750  0.47
K1 0.250 0.250 0.250  0.00
Zr1 0.017 0.017 0.894  -0.04
Zr2 0.483 0.483 0.606  -0.04

Calculated values
* size of the total moment: 0.0942 μB per atom
* offset from the most stable computed form: 224 meV/atom
* E_form: 0.626 eV/atom